# YMgSb2

YMgSb2 after structural relaxation (PBE-GGA, the Alexandria database).

The uncorrected formation energy is -0.486 eV/atom. For the density of states at the Fermi level, the calculation gives 0.435 states/eV/atom. As for the total energy: -18.248 eV/f.u.

The space group is I4/mmm (No. 139) and the conventional cell measures 4.786, 4.786 and 8.929 Å, with angles of 90.00, 90.00 and 90.00 degrees. The inequivalent atoms are Y at (0.000, 0.000, 0.000), Mg at (0.000, 0.000, 0.500) and Sb at (0.000, 0.500, 0.250).